12
Lattice="7.191 -1.780 0.000 7.191 1.780 0.000 -1.128 0.000 15.307" Properties=species:S:1:pos:R:3 comment="Tl7Pb5 (PBE-GGA, optimized geometry)" formation_enthalpy_0k_ev_per_atom=0.044 de_polymorph_ev_per_fu=0.57 rho_g_cm3=10.5 pbc="T T T"
Tl 0.000 0.000 0.000
Tl 2.107 0.000 8.889
Tl 4.165 0.000 12.817
Tl 5.742 0.000 4.066
Tl 7.511 0.000 11.241
Tl 9.088 0.000 2.489
Tl 11.147 0.000 6.418
Pb 1.241 0.000 5.347
Pb 4.513 0.000 1.056
Pb 6.627 0.000 7.653
Pb 8.741 0.000 14.251
Pb 12.013 0.000 9.960